A relaxed structure of Co2SbBr. Source: Alexandria via LeMat-Bulk, functional PBE.

Summary:
* formation energy (no corrections): 0.654 eV per atom
* magnetization: 0.5839 μB per atom
* final energy: -17.4 eV per formula unit
* energy above the most stable polymorph in this dataset: 539 meV per atom
* D(E_F): 5.6 states/eV/cell
* ρ: 6.9 Mg/m³

a b c (Å): 3.126 3.963 6.215
angles (deg): 90.00 90.00 90.00
Positions (direct):
Co (0.000, 0.000, 0.000)
Co (0.500, 0.000, 0.500)
Sb (0.000, 0.500, 0.500)
Br (0.500, 0.500, 0.000)